A plane-wave DFT calculation with PBE-GGA was carried out for crystalline CsRe2S2 at its relaxed geometry.

Computed properties:
M_tot: 0.00 μB/f.u.
Formation energy (no corrections): -0.1965 eV per atom
N(E_F): 3.75 states/eV/f.u.

a b c (Å): 3.9771 3.9771 7.6470
angles (deg): 74.93 74.93 90.00
Last column: nearest neighbours and their distance in Å.
Fractional positions:
S 0.3409 0.3409 0.3181  4 Re 2.37
S 0.6591 0.6591 0.6819  4 Re 2.37
Re 0.7500 0.2500 0.5000  4 S 2.37
Re 0.2500 0.7500 0.5000  4 S 2.37
Cs 0.0000 0.0000 0.0000  8 S 3.61, 4 Cs 3.98